Entry from the Alexandria database: AcSc2Pa after structural relaxation (PBE).

```
AcSc2Pa
1.0
3.3312 0.0000 0.0000
1.6656 2.8849 0.0000
1.6656 0.9616 11.9654
Sc Ac Pa
2 1 1
Cartesian
1.6656 0.9616 8.9243
4.9967 2.8849 3.0411
3.3312 1.9232 5.9827
0.0000 0.0000 0.0000
```

Summary:
Formation energy from the elements in eV per formula unit: 1.9
Fermi-level density of states in states/eV per cell: 7.1
E_tot in eV/atom: -6.10
Space-group type: R-3m, No. 166